This record from Alexandria via LeMat-Bulk describes a relaxed Cs3AsI4 crystal. The functional is PBE.

Cell and atoms, written as CIF:
```
data_Cs3AsI4
_chemical_formula_sum 'Cs6 As2 I8'
_symmetry_space_group_name_H-M 'P m n 21'
_symmetry_Int_Tables_number 31
_symmetry_space_group_name_Hall 'P 2ac -2'
_cell_length_a 18.332
_cell_length_b 7.932
_cell_length_c 6.851
_cell_angle_alpha 90.00
_cell_angle_beta 90.00
_cell_angle_gamma 90.00
loop_
_atom_site_label
_atom_site_type_symbol
_atom_site_fract_x
_atom_site_fract_y
_atom_site_fract_z
Cs1 Cs 0.000 0.231 0.000
Cs2 Cs 0.201 0.751 0.202
As1 As 0.000 0.677 0.375
I1 I 0.000 0.728 0.991
I2 I 0.000 0.993 0.491
I3 I 0.196 0.254 0.186
```

Computed properties:
magnetic moment	0.0	Bohr magnetons per cell
E	-2.6503	eV/atom

---

This record from Alexandria via LeMat-Bulk describes a relaxed LiHo2CoC crystal. The functional is PBE.

Cell and atoms, written as CIF:
```
data_LiHo2CoC
_chemical_formula_sum 'Li1 Ho2 Co1 C1'
_symmetry_space_group_name_H-M 'P 4/m m m'
_symmetry_Int_Tables_number 123
_symmetry_space_group_name_Hall '-P 4 2'
_cell_length_a 4.958
_cell_length_b 4.958
_cell_length_c 3.654
_cell_angle_alpha 90.00
_cell_angle_beta 90.00
_cell_angle_gamma 90.00
loop_
_atom_site_label
_atom_site_type_symbol
_atom_site_fract_x
_atom_site_fract_y
_atom_site_fract_z
Li1 Li 0.000 0.000 0.000
Ho1 Ho 0.000 0.500 0.500
Co1 Co 0.500 0.500 0.000
C1 C 0.500 0.500 0.500
```

Computed properties:
DOS(E_F)	2.720	states/eV/cell
magnetic moment	0.0	Bohr magnetons per cell
E	-5.7129	eV/atom

---

This record from Alexandria via LeMat-Bulk describes a relaxed DyTlPb2Se4 crystal. The functional is PBE.

Cell and atoms, written as CIF:
```
data_DyTlPb2Se4
_chemical_formula_sum 'Dy1 Tl1 Pb2 Se4'
_symmetry_space_group_name_H-M 'P 1 2/m 1'
_symmetry_Int_Tables_number 10
_symmetry_space_group_name_Hall '-P 2y'
_cell_length_a 7.453
_cell_length_b 4.326
_cell_length_c 7.667
_cell_angle_alpha 90.00
_cell_angle_beta 108.45
_cell_angle_gamma 90.00
loop_
_atom_site_label
_atom_site_type_symbol
_atom_site_fract_x
_atom_site_fract_y
_atom_site_fract_z
Dy1 Dy 0.000 0.000 0.000
Tl1 Tl 0.000 0.500 0.500
Pb1 Pb 0.500 0.000 0.500
Pb2 Pb 0.500 0.500 0.000
Se1 Se 0.234 0.500 0.226
Se2 Se 0.246 0.000 0.773
```

Computed properties:
magnetic moment	0.0	Bohr magnetons per cell
E	-4.4351	eV/atom

---

This record from Alexandria via LeMat-Bulk describes a relaxed Li3NbAl crystal. The functional is PBE.

Cell and atoms, written as CIF:
```
data_Li3NbAl
_chemical_formula_sum 'Li3 Nb1 Al1'
_symmetry_space_group_name_H-M 'P m -3 m'
_symmetry_Int_Tables_number 221
_symmetry_space_group_name_Hall '-P 4 2 3'
_cell_length_a 4.984
_cell_length_b 4.984
_cell_length_c 4.984
_cell_angle_alpha 90.00
_cell_angle_beta 90.00
_cell_angle_gamma 90.00
loop_
_atom_site_label
_atom_site_type_symbol
_atom_site_fract_x
_atom_site_fract_y
_atom_site_fract_z
Li1 Li 0.000 0.000 0.500
Nb1 Nb 0.000 0.000 0.000
Al1 Al 0.500 0.500 0.500
```

Computed properties:
energy above the most stable polymorph in this dataset	385	meV/atom
DOS(E_F)	3.294	states/eV/cell
magnetic moment	4.1	Bohr magnetons per cell
E	-2.6100	eV/atom

---

This record from Alexandria via LeMat-Bulk describes a relaxed Tb4Pm15Th crystal. The functional is PBE.

Cell and atoms, written as CIF:
```
data_Tb4Pm15Th
_chemical_formula_sum 'Tb4 Pm15 Th1'
_symmetry_space_group_name_H-M 'P 4/m m m'
_symmetry_Int_Tables_number 123
_symmetry_space_group_name_Hall '-P 4 2'
_cell_length_a 5.140
_cell_length_b 5.140
_cell_length_c 25.655
_cell_angle_alpha 90.00
_cell_angle_beta 90.00
_cell_angle_gamma 90.00
loop_
_atom_site_label
_atom_site_type_symbol
_atom_site_fract_x
_atom_site_fract_y
_atom_site_fract_z
Tb1 Tb 0.000 0.000 0.100
Tb2 Tb 0.000 0.000 0.300
Pm1 Pm 0.000 0.500 0.000
Pm2 Pm 0.000 0.500 0.200
Pm3 Pm 0.000 0.500 0.401
Pm4 Pm 0.500 0.500 0.100
Pm5 Pm 0.500 0.500 0.298
Pm6 Pm 0.500 0.500 0.500
Th1 Th 0.000 0.000 0.500
```

Computed properties:
DOS(E_F)	29.093	states/eV/cell
magnetic moment	0.0	Bohr magnetons per cell
E	-4.8354	eV/atom

---

This record from Alexandria via LeMat-Bulk describes a relaxed In2Sn2Hg4Pb3 crystal. The functional is PBE.

Cell and atoms, written as CIF:
```
data_In2Sn2Hg4Pb3
_chemical_formula_sum 'In2 Sn2 Hg4 Pb3'
_symmetry_space_group_name_H-M 'P -3 m 1'
_symmetry_Int_Tables_number 164
_symmetry_space_group_name_Hall '-P 3 2"'
_cell_length_a 5.2381
_cell_length_b 5.2381
_cell_length_c 13.4115
_cell_angle_alpha 90.00
_cell_angle_beta 90.00
_cell_angle_gamma 120.00
loop_
_atom_site_label
_atom_site_type_symbol
_atom_site_fract_x
_atom_site_fract_y
_atom_site_fract_z
In1 In 0.3333 0.6667 0.0936
Sn1 Sn 0.3333 0.6667 0.6374
Hg1 Hg 0.3333 0.6667 0.3829
Hg2 Hg 0.3333 0.6667 0.8698
Pb1 Pb 0.0000 0.0000 0.2313
Pb2 Pb 0.0000 0.0000 0.5000
```

Computed properties:
DOS(E_F)	3.223	states/eV/cell
magnetic moment	0.0	Bohr magnetons per cell
E	-2.3100	eV/atom

---

This record from Alexandria via LeMat-Bulk describes a relaxed Y4AlCd2Hg crystal. The functional is PBE.

Cell and atoms, written as CIF:
```
data_Y4AlCd2Hg
_chemical_formula_sum 'Y12 Al3 Cd6 Hg3'
_symmetry_space_group_name_H-M 'R -3 m'
_symmetry_Int_Tables_number 166
_symmetry_space_group_name_Hall '-R 3 2"'
_cell_length_a 5.2445
_cell_length_b 5.2445
_cell_length_c 25.7331
_cell_angle_alpha 90.00
_cell_angle_beta 90.00
_cell_angle_gamma 120.00
loop_
_atom_site_label
_atom_site_type_symbol
_atom_site_fract_x
_atom_site_fract_y
_atom_site_fract_z
Y1 Y 0.0000 0.0000 0.1238
Y2 Y 0.0000 0.0000 0.3739
Al1 Al 0.0000 0.0000 0.0000
Cd1 Cd 0.0000 0.0000 0.2509
Hg1 Hg 0.0000 0.0000 0.5000
```

Computed properties:
DOS(E_F)	22.105	states/eV/cell
magnetic moment	0.0	Bohr magnetons per cell
E	-4.3752	eV/atom

---

This record from Alexandria via LeMat-Bulk describes a relaxed CaSe crystal. The functional is PBE.

Cell and atoms, written as CIF:
```
data_CaSe
_chemical_formula_sum 'Ca6 Se6'
_symmetry_space_group_name_H-M 'C 1 m 1'
_symmetry_Int_Tables_number 8
_symmetry_space_group_name_Hall 'C -2y'
_cell_length_a 11.349
_cell_length_b 3.944
_cell_length_c 7.650
_cell_angle_alpha 90.00
_cell_angle_beta 112.27
_cell_angle_gamma 90.00
loop_
_atom_site_label
_atom_site_type_symbol
_atom_site_fract_x
_atom_site_fract_y
_atom_site_fract_z
Ca1 Ca 0.000 0.000 0.000
Ca2 Ca 0.153 0.000 0.661
Ca3 Ca 0.332 0.500 0.361
Se1 Se 0.057 0.500 0.325
Se2 Se 0.227 0.500 0.965
Se3 Se 0.406 0.000 0.665
```

Computed properties:
DOS(E_F)	0.000	states/eV/cell
magnetic moment	0.0	Bohr magnetons per cell
E	-4.5420	eV/atom

---

This record from Alexandria via LeMat-Bulk describes a relaxed Fe2MoBr crystal. The functional is PBE.

Cell and atoms, written as CIF:
```
data_Fe2MoBr
_chemical_formula_sum 'Fe4 Mo2 Br2'
_symmetry_space_group_name_H-M 'C 1 m 1'
_symmetry_Int_Tables_number 8
_symmetry_space_group_name_Hall 'C -2y'
_cell_length_a 6.945
_cell_length_b 3.001
_cell_length_c 7.079
_cell_angle_alpha 90.00
_cell_angle_beta 93.21
_cell_angle_gamma 90.00
loop_
_atom_site_label
_atom_site_type_symbol
_atom_site_fract_x
_atom_site_fract_y
_atom_site_fract_z
Fe1 Fe 0.000 0.000 0.000
Fe2 Fe 0.213 0.500 0.175
Mo1 Mo 0.455 0.000 0.347
Br1 Br 0.020 0.000 0.645
```

Computed properties:
energy above the most stable polymorph in this dataset	81	meV/atom
DOS(E_F)	7.618	states/eV/cell
magnetic moment	7.8	Bohr magnetons per cell
E	-6.8516	eV/atom

---

This record from Alexandria via LeMat-Bulk describes a relaxed Pa2Si6PtRh crystal. The functional is PBE.

Cell and atoms, written as CIF:
```
data_Pa2Si6PtRh
_chemical_formula_sum 'Pa12 Si36 Pt6 Rh6'
_symmetry_space_group_name_H-M 'R -3 m'
_symmetry_Int_Tables_number 166
_symmetry_space_group_name_Hall '-R 3 2"'
_cell_length_a 5.8492
_cell_length_b 5.8492
_cell_length_c 38.2173
_cell_angle_alpha 90.00
_cell_angle_beta 90.00
_cell_angle_gamma 120.00
loop_
_atom_site_label
_atom_site_type_symbol
_atom_site_fract_x
_atom_site_fract_y
_atom_site_fract_z
Pa1 Pa 0.0000 0.0000 0.1263
Pa2 Pa 0.0000 0.0000 0.2729
Si1 Si 0.0530 0.5265 0.7184
Si2 Si 0.0638 0.5319 0.8691
Pt1 Pt 0.0000 0.0000 0.4226
Rh1 Rh 0.0000 0.0000 0.0000
Rh2 Rh 0.0000 0.0000 0.5000
```

Computed properties:
DOS(E_F)	63.814	states/eV/cell
magnetic moment	11.0	Bohr magnetons per cell
E	-6.8464	eV/atom

---

This record from Alexandria via LeMat-Bulk describes a relaxed CsVS2 crystal. The functional is PBE.

Cell and atoms, written as CIF:
```
data_CsVS2
_chemical_formula_sum 'Cs2 V2 S4'
_symmetry_space_group_name_H-M 'P 1'
_symmetry_Int_Tables_number 1
_symmetry_space_group_name_Hall 'P 1'
_cell_length_a 5.651
_cell_length_b 7.469
_cell_length_c 7.471
_cell_angle_alpha 61.61
_cell_angle_beta 90.00
_cell_angle_gamma 89.88
loop_
_atom_site_label
_atom_site_type_symbol
_atom_site_fract_x
_atom_site_fract_y
_atom_site_fract_z
Cs1 Cs 0.000 0.000 0.000
Cs2 Cs 0.499 0.373 0.374
V1 V 0.251 0.791 0.582
V2 V 0.751 0.790 0.582
S1 S 0.000 0.051 0.506
S2 S 0.002 0.534 0.637
S3 S 0.501 0.734 0.839
S4 S 0.501 0.868 0.321
```

Computed properties:
DOS(E_F)	5.185	states/eV/cell
magnetic moment	1.2	Bohr magnetons per cell
E	-5.6650	eV/atom

---

This record from Alexandria via LeMat-Bulk describes a relaxed BaAuSe crystal. The functional is PBE.

Cell and atoms, written as CIF:
```
data_BaAuSe
_chemical_formula_sum 'Ba4 Au4 Se4'
_symmetry_space_group_name_H-M 'P -1'
_symmetry_Int_Tables_number 2
_symmetry_space_group_name_Hall '-P 1'
_cell_length_a 6.119
_cell_length_b 7.839
_cell_length_c 9.181
_cell_angle_alpha 78.21
_cell_angle_beta 72.18
_cell_angle_gamma 78.84
loop_
_atom_site_label
_atom_site_type_symbol
_atom_site_fract_x
_atom_site_fract_y
_atom_site_fract_z
Ba1 Ba 0.115 0.206 0.074
Ba2 Ba 0.287 0.273 0.500
Au1 Au 0.154 0.848 0.549
Au2 Au 0.353 0.780 0.221
Se1 Se 0.119 0.561 0.213
Se2 Se 0.420 0.979 0.791
```

Computed properties:
energy above the most stable polymorph in this dataset	0	meV/atom
magnetic moment	0.0	Bohr magnetons per cell
E	-4.0200	eV/atom